# Sm3Si3Pt (PBE, relaxed)
data_Sm3Si3Pt
_space_group_name_H-M_alt 'I m m 2'
_space_group_IT_number 44
_cell_length_a 4.041
_cell_length_b 4.284
_cell_length_c 18.175
_cell_angle_alpha 90.00
_cell_angle_beta 90.00
_cell_angle_gamma 90.00
loop_
_space_group_symop_operation_xyz
'x,y,z'
'-x,-y,z'
'-x,y,z'
'x,-y,z'
'x+1/2,y+1/2,z+1/2'
'-x+1/2,-y+1/2,z+1/2'
'-x+1/2,y+1/2,z+1/2'
'x+1/2,-y+1/2,z+1/2'
loop_
_atom_site_label
_atom_site_type_symbol
_atom_site_fract_x
_atom_site_fract_y
_atom_site_fract_z
_atom_site_occupancy
Sm1 Sm 0.000 0.000 0.000 1
Sm2 Sm 0.000 0.000 0.368 1
Sm3 Sm 0.000 0.500 0.685 1
Si1 Si 0.000 0.000 0.540 1
Si2 Si 0.000 0.000 0.828 1
Si3 Si 0.000 0.500 0.248 1
Pt1 Pt 0.000 0.500 0.118 1
# Size of the total moment: 0.000 μB per atom
# Formation energy (no corrections): -0.90 eV/atom
# Calculated density: 7.7 g/cm3